Entry 1:
Nb3IF: optimized geometry, PBE.

Summary:
E above lowest polymorph: 0.000 eV/atom
space-group type: Pm-3m
DFT total energy: -6.28 eV/atom
crystal system: cubic
uncorrected formation energy: 0.4462 eV per atom

a = 4.4747 Å, b = 4.4747 Å, c = 4.4747 Å
α = 90.00°, β = 90.00°, γ = 90.00°
With the nearest neighbours (Å) after each atom.
Element x y z (fractional)
Nb 0.0000 0.0000 0.5000  2 F 2.24
Nb 0.0000 0.5000 0.0000  2 F 2.24
Nb 0.5000 0.0000 0.0000  2 F 2.24
I 0.5000 0.5000 0.5000  12 Nb 3.16
F 0.0000 0.0000 0.0000  6 Nb 2.24

Entry 2:
Li2CdPb9: optimized geometry, PBE.

Summary:
formation enthalpy at 0 K: -0.0673 eV/atom
space-group type: P4/mmm
DFT total energy: -3.24 eV/atom
crystal system: tetragonal

a = 4.8594 Å, b = 4.8594 Å, c = 14.5992 Å
α = 90.00°, β = 90.00°, γ = 90.00°
With the nearest neighbours (Å) after each atom.
Element x y z (fractional)
Li 0.0000 0.0000 0.1634  12 Pb 3.40-3.44
Li 0.0000 0.0000 0.8366  12 Pb 3.40-3.44
Cd 0.0000 0.0000 0.5000  12 Pb 3.44-3.48
Pb 0.0000 0.5000 0.0000  4 Li 3.40, 8 Pb 3.43-3.44
Pb 0.0000 0.5000 0.3294  8 Pb 3.41-3.48, 2 Li 3.43, 2 Cd 3.48
Pb 0.0000 0.5000 0.6706  8 Pb 3.41-3.48, 2 Li 3.43, 2 Cd 3.48
Pb 0.5000 0.0000 0.0000  4 Li 3.40, 8 Pb 3.43-3.44
Pb 0.5000 0.0000 0.3294  8 Pb 3.41-3.48, 2 Li 3.43, 2 Cd 3.48
Pb 0.5000 0.0000 0.6706  8 Pb 3.41-3.48, 2 Li 3.43, 2 Cd 3.48
Pb 0.5000 0.5000 0.1658  8 Pb 3.41-3.43, 4 Li 3.44
Pb 0.5000 0.5000 0.5000  4 Cd 3.44, 8 Pb 3.48
Pb 0.5000 0.5000 0.8342  8 Pb 3.41-3.43, 4 Li 3.44

Entry 3:
FeRu4: optimized geometry, PBE.

Summary:
E above lowest polymorph: 0.000 eV/atom
formation enthalpy at 0 K: 0.1214 eV/atom
space-group type: I4/m
DFT total energy: -8.99 eV/atom
crystal system: tetragonal

a = 4.6385 Å, b = 4.6385 Å, c = 4.6385 Å
α = 99.45°, β = 99.45°, γ = 132.20°
With the nearest neighbours (Å) after each atom.
Element x y z (fractional)
Fe 0.0000 0.0000 0.0000  12 Ru 2.65-2.71
Ru 0.2032 0.4033 0.6065  9 Ru 2.65-2.70, 3 Fe 2.65-2.71
Ru 0.4033 0.7968 0.2001  9 Ru 2.65-2.70, 3 Fe 2.65-2.71
Ru 0.5967 0.2032 0.7999  9 Ru 2.65-2.70, 3 Fe 2.65-2.71
Ru 0.7968 0.5967 0.3935  9 Ru 2.65-2.70, 3 Fe 2.65-2.71

Entry 4:
Tb2AgGe: optimized geometry, PBE.

Summary:
formation enthalpy at 0 K: -0.5186 eV/atom
space-group type: P4/mmm
DFT total energy: -4.70 eV/atom
crystal system: tetragonal

a = 5.0169 Å, b = 5.0169 Å, c = 3.7464 Å
α = 90.00°, β = 90.00°, γ = 90.00°
With the nearest neighbours (Å) after each atom.
Element x y z (fractional)
Tb 0.0000 0.5000 0.0000  4 Ge 3.13, 4 Ag 3.13
Tb 0.5000 0.0000 0.0000  4 Ge 3.13, 4 Ag 3.13
Ag 0.0000 0.0000 0.5000  8 Tb 3.13
Ge 0.5000 0.5000 0.5000  8 Tb 3.13